10
Lattice="-3.799 3.799 2.402 3.799 -3.799 2.402 3.799 3.799 -2.402" Properties=species:S:1:pos:R:3 comment="Pu4NbN5 | Alexandria via LeMat-Bulk | PBE | relaxed" energy_ev_per_cell=-121.2 e_form_raw_ev_per_fu=-12.16 mass_density_g_cm3=13.64 total_magnetization_mub_per_fu=17.69 pbc="T T T"
Pu 2.254 0.764 0.000
Pu 3.035 -1.545 2.402
Pu 0.764 5.344 0.000
Pu 1.545 3.035 2.402
Nb 0.000 0.000 2.402
N 0.000 0.000 0.000
N 4.524 1.597 0.000
N 1.597 3.074 0.000
N 2.202 0.725 2.402
N -0.725 2.202 2.402